## SrTi3N (PBE)

Data for a relaxed SrTi3N crystal.

Cell: 4.4044 4.4044 4.4044 Å, 90.00 90.00 90.00°
Element x y z (fractional)
Sr1 0.0000 0.0000 0.0000
Ti1 0.0000 0.5000 0.5000
Ti2 0.5000 0.0000 0.5000
Ti3 0.5000 0.5000 0.0000
N1 0.5000 0.5000 0.5000

Properties
theoretical density	4766	kg/m3
E	-6.7803	eV/atom
DOS at the Fermi energy	1.177	states/eV per atom
E above lowest polymorph	0	meV per atom
ΔE_f (raw)	-42	meV per atom

## SrTi4N6 (PBE)

Data for a relaxed SrTi4N6 crystal.

Cell: 5.2733 5.2733 16.0192 Å, 90.00 90.00 146.49°
Element x y z (fractional)
Sr1 0.1508 0.8492 0.7500
Sr2 0.8492 0.1508 0.2500
Ti1 0.1048 0.8952 0.1350
Ti2 0.1048 0.8952 0.3650
Ti3 0.3708 0.6292 0.0479
Ti4 0.3708 0.6292 0.4521
Ti5 0.6292 0.3708 0.5479
Ti6 0.6292 0.3708 0.9521
Ti7 0.8952 0.1048 0.6350
Ti8 0.8952 0.1048 0.8650
N1 0.0000 0.0000 0.0000
N2 0.0000 0.0000 0.5000
N3 0.1522 0.8478 0.2500
N4 0.2615 0.7385 0.5818
N5 0.2615 0.7385 0.9182
N6 0.4749 0.5251 0.1466
N7 0.4749 0.5251 0.3534
N8 0.5251 0.4749 0.6466
N9 0.5251 0.4749 0.8534
N10 0.7385 0.2615 0.0818
N11 0.7385 0.2615 0.4182
N12 0.8478 0.1522 0.7500

Properties
theoretical density	4904	kg/m3
E	-8.9210	eV/atom
ΔE_f (raw)	-1356	meV per atom

## SrTiN3 (PBE)

Data for a relaxed SrTiN3 crystal.

Cell: 4.2439 4.2439 4.2439 Å, 90.00 90.00 90.00°
Element x y z (fractional)
Sr1 0.0000 0.0000 0.0000
Ti1 0.5000 0.5000 0.5000
N1 0.0000 0.0000 0.5000
N2 0.0000 0.5000 0.0000
N3 0.5000 0.0000 0.0000

Properties
theoretical density	3856	kg/m3
E	-4.8477	eV/atom
DOS at the Fermi energy	0.824	states/eV per atom
ΔE_f (raw)	2063	meV per atom

## Sr3Ti3N5 (PBE)

Data for a relaxed Sr3Ti3N5 crystal.

Cell: 5.9755 7.9497 8.6925 Å, 109.83 103.89 101.55°
Element x y z (fractional)
Sr1 0.1531 0.3465 0.3848
Sr2 0.1856 0.1797 0.7241
Sr3 0.2495 0.9338 0.0961
Sr4 0.7505 0.0662 0.9039
Sr5 0.8144 0.8203 0.2759
Sr6 0.8469 0.6535 0.6152
Ti1 0.2061 0.4872 0.0952
Ti2 0.4024 0.8116 0.4714
Ti3 0.4068 0.6274 0.8052
Ti4 0.5932 0.3726 0.1948
Ti5 0.5976 0.1884 0.5286
Ti6 0.7939 0.5128 0.9048
N1 0.1244 0.5563 0.8818
N2 0.2436 0.2326 0.0405
N3 0.2749 0.0091 0.4169
N4 0.3091 0.7476 0.6507
N5 0.4903 0.5932 0.3202
N6 0.5097 0.4068 0.6798
N7 0.6909 0.2524 0.3493
N8 0.7251 0.9909 0.5831
N9 0.7564 0.7674 0.9595
N10 0.8756 0.4437 0.1182

Properties
theoretical density	4412	kg/m3
E	-7.5457	eV/atom
DOS at the Fermi energy	0.475	states/eV per atom
ΔE_f (raw)	-1150	meV per atom

## Sr2TiN (PBE)

Data for a relaxed Sr2TiN crystal.

Cell: 10.7116 10.7116 3.9888 Å, 90.00 90.00 90.00°
Element x y z (fractional)
Sr1 0.0742 0.2500 0.1250
Sr2 0.2500 0.5742 0.3750
Sr3 0.2500 0.9258 0.8750
Sr4 0.4258 0.2500 0.6250
Sr5 0.5742 0.7500 0.6250
Sr6 0.7500 0.0742 0.8750
Sr7 0.7500 0.4258 0.3750
Sr8 0.9258 0.7500 0.1250
Ti1 0.0000 0.0000 0.5000
Ti2 0.0000 0.5000 0.7500
Ti3 0.5000 0.0000 0.2500
Ti4 0.5000 0.5000 0.0000
N1 0.0000 0.0000 0.0000
N2 0.0000 0.5000 0.2500
N3 0.5000 0.0000 0.7500
N4 0.5000 0.5000 0.5000

Properties
theoretical density	3441	kg/m3
E	-5.1733	eV/atom
DOS at the Fermi energy	0.719	states/eV per atom
ΔE_f (raw)	-277	meV per atom

## SrTi2N (PBE)

Data for a relaxed SrTi2N crystal.

Cell: 6.4065 6.4065 6.4065 Å, 60.00 60.00 60.00°
Element x y z (fractional)
Sr1 0.1250 0.1250 0.1250
Sr2 0.8750 0.8750 0.8750
Ti1 0.0000 0.5000 0.5000
Ti2 0.5000 0.0000 0.5000
Ti3 0.5000 0.5000 0.0000
Ti4 0.5000 0.5000 0.5000
N1 0.3750 0.3750 0.3750
N2 0.6250 0.6250 0.6250

Properties
theoretical density	3525	kg/m3
E	-6.8459	eV/atom
DOS at the Fermi energy	0.734	states/eV per atom
ΔE_f (raw)	-397	meV per atom

Q: ΔE_f (raw) of number 4 (Sr3Ti3N5)?
A: -1150 meV per atom